[1]
DFT (PBE-GGA) results for PrNdRe after structural relaxation. Values from VASP.

Output
Raw total energy (hartree per atom): -0.2257
Space-group type: F-43m
Energy relative to the elements (meV per atom): 1179

The structure in Quantum ESPRESSO input format:
```
&SYSTEM
  ibrav = 0, nat = 12, ntyp = 3
/
ATOMIC_SPECIES
Pr 140.91 Pr.upf
Nd 144.24 Nd.upf
Re 186.21 Re.upf
ATOMIC_POSITIONS crystal
Pr 0.0000 0.0000 0.0000
Pr 0.0000 0.5000 0.5000
Pr 0.5000 0.0000 0.5000
Pr 0.5000 0.5000 0.0000
Nd 0.2500 0.2500 0.2500
Nd 0.2500 0.7500 0.7500
Nd 0.7500 0.2500 0.7500
Nd 0.7500 0.7500 0.2500
Re 0.0000 0.0000 0.5000
Re 0.0000 0.5000 0.0000
Re 0.5000 0.0000 0.0000
Re 0.5000 0.5000 0.5000
CELL_PARAMETERS angstrom
6.9286 0.0000 0.0000
0.0000 6.9286 0.0000
0.0000 0.0000 6.9286
```

***

[2]
DFT (PBE-GGA) results for PrNd2S3 after structural relaxation. Values from VASP.

Output
Raw total energy (hartree per atom): -0.2379
Space-group type: P-3m1

The structure in Quantum ESPRESSO input format:
```
&SYSTEM
  ibrav = 0, nat = 6, ntyp = 3
/
ATOMIC_SPECIES
Pr 140.91 Pr.upf
Nd 144.24 Nd.upf
S 32.06 S.upf
ATOMIC_POSITIONS crystal
Pr 0.0000 0.0000 0.0000
Nd 0.3333 0.6667 0.6664
Nd 0.6667 0.3333 0.3336
S 0.0000 0.0000 0.5000
S 0.3333 0.6667 0.1691
S 0.6667 0.3333 0.8309
CELL_PARAMETERS angstrom
4.0727 0.0000 0.0000
-2.0363 3.5271 0.0000
0.0000 0.0000 9.9950
```

***

[3]
DFT (PBE-GGA) results for PrNdS2 after structural relaxation. Values from VASP.

Output
Raw total energy (hartree per atom): -0.2379
Space-group type: P4/mmm

The structure in Quantum ESPRESSO input format:
```
&SYSTEM
  ibrav = 0, nat = 4, ntyp = 3
/
ATOMIC_SPECIES
Pr 140.91 Pr.upf
Nd 144.24 Nd.upf
S 32.06 S.upf
ATOMIC_POSITIONS crystal
Pr 0.0000 0.0000 0.0000
Nd 0.5000 0.5000 0.5000
S 0.0000 0.0000 0.5000
S 0.5000 0.5000 0.0000
CELL_PARAMETERS angstrom
4.0832 0.0000 0.0000
0.0000 4.0832 0.0000
0.0000 0.0000 5.7764
```

***

[4]
DFT (PBE-GGA) results for PrNdS2 after structural relaxation. Values from VASP.

Output
Raw total energy (hartree per atom): -0.2379
Space-group type: R-3m

The structure in Quantum ESPRESSO input format:
```
&SYSTEM
  ibrav = 0, nat = 12, ntyp = 3
/
ATOMIC_SPECIES
Pr 140.91 Pr.upf
Nd 144.24 Nd.upf
S 32.06 S.upf
ATOMIC_POSITIONS crystal
Pr 0.0000 0.0000 0.0000
Pr 0.3333 0.6667 0.6667
Pr 0.6667 0.3333 0.3333
Nd 0.0000 0.0000 0.5000
Nd 0.3333 0.6667 0.1667
Nd 0.6667 0.3333 0.8333
S 0.0000 0.0000 0.2490
S 0.0000 0.0000 0.7510
S 0.3333 0.6667 0.4177
S 0.3333 0.6667 0.9156
S 0.6667 0.3333 0.0844
S 0.6667 0.3333 0.5823
CELL_PARAMETERS angstrom
4.0767 0.0000 0.0000
-2.0383 3.5305 0.0000
0.0000 0.0000 20.0541
```

***

[5]
DFT (PBE-GGA) results for Pr2NdS3 after structural relaxation. Values from VASP.

Output
Raw total energy (hartree per atom): -0.2379
Space-group type: P-3m1

The structure in Quantum ESPRESSO input format:
```
&SYSTEM
  ibrav = 0, nat = 6, ntyp = 3
/
ATOMIC_SPECIES
Pr 140.91 Pr.upf
Nd 144.24 Nd.upf
S 32.06 S.upf
ATOMIC_POSITIONS crystal
Pr 0.3333 0.6667 0.1667
Pr 0.6667 0.3333 0.8333
Nd 0.0000 0.0000 0.5000
S 0.0000 0.0000 0.0000
S 0.3333 0.6667 0.6642
S 0.6667 0.3333 0.3358
CELL_PARAMETERS angstrom
4.0870 0.0000 0.0000
-2.0435 3.5395 0.0000
0.0000 0.0000 10.0339
```

***

[6]
DFT (PBE-GGA) results for PrNdSb2S2 after structural relaxation. Values from VASP.

Output
Raw total energy (hartree per atom): -0.2131
Space-group type: P4mm

The structure in Quantum ESPRESSO input format:
```
&SYSTEM
  ibrav = 0, nat = 6, ntyp = 4
/
ATOMIC_SPECIES
Pr 140.91 Pr.upf
Nd 144.24 Nd.upf
Sb 121.76 Sb.upf
S 32.06 S.upf
ATOMIC_POSITIONS crystal
Pr 0.0000 0.0000 0.0000
Nd 0.5000 0.5000 0.3856
Sb 0.0000 0.5000 0.6927
Sb 0.5000 0.0000 0.6927
S 0.0000 0.0000 0.3211
S 0.5000 0.5000 0.0651
CELL_PARAMETERS angstrom
4.1572 0.0000 0.0000
0.0000 4.1572 0.0000
0.0000 0.0000 8.9646
```

***

[7]
DFT (PBE-GGA) results for PrNd2Sb3 after structural relaxation. Values from VASP.

Output
Raw total energy (hartree per atom): -0.2072
Space-group type: P-3m1

The structure in Quantum ESPRESSO input format:
```
&SYSTEM
  ibrav = 0, nat = 6, ntyp = 3
/
ATOMIC_SPECIES
Pr 140.91 Pr.upf
Nd 144.24 Nd.upf
Sb 121.76 Sb.upf
ATOMIC_POSITIONS crystal
Pr 0.0000 0.0000 0.0000
Nd 0.3333 0.6667 0.3335
Nd 0.6667 0.3333 0.6665
Sb 0.0000 0.0000 0.5000
Sb 0.3333 0.6667 0.8327
Sb 0.6667 0.3333 0.1673
CELL_PARAMETERS angstrom
4.5256 0.0000 0.0000
-2.2628 3.9193 0.0000
0.0000 0.0000 11.1348
```

***

[8]
DFT (PBE-GGA) results for PrNdSb2 after structural relaxation. Values from VASP.

Output
Raw total energy (hartree per atom): -0.2072
Energy above the most stable polymorph in this dataset (eV per formula unit): 0.00
Space-group type: P4/mmm

The structure in Quantum ESPRESSO input format:
```
&SYSTEM
  ibrav = 0, nat = 4, ntyp = 3
/
ATOMIC_SPECIES
Pr 140.91 Pr.upf
Nd 144.24 Nd.upf
Sb 121.76 Sb.upf
ATOMIC_POSITIONS crystal
Pr 0.0000 0.0000 0.0000
Nd 0.5000 0.5000 0.5000
Sb 0.0000 0.0000 0.5000
Sb 0.5000 0.5000 0.0000
CELL_PARAMETERS angstrom
4.5385 0.0000 0.0000
0.0000 4.5385 0.0000
0.0000 0.0000 6.4185
```